# NiOsPt

An optimized crystal structure of NiOsPt (PBE, Alexandria via LeMat-Bulk).

Cell: 2.717 2.717 6.475 Å, 90.00 90.00 120.00°
Sites, in units of the cell vectors:
Ni 0.000 0.000 0.000
Os 0.667 0.333 0.307
Pt 0.333 0.667 0.664

## Properties
Space group ... P3m1 (156)
N(E_F) ... 1.197 states/eV/atom
Spin magnetization ... 0.00 μB per cell
Energy above the most stable polymorph in this dataset ... 2.02 kcal/mol of atoms